Entry from the Alexandria database: ErOs2O8 after structural relaxation (PBE-GGA).

The value obtained for the density of states at the Fermi level is 7.05 states/eV/f.u. The formation energy without anion corrections comes out at -141.5 kJ per mole of atoms.

Lattice parameters (Å, degrees): 6.824 6.049 6.049 120.00 90.00 90.00
Element x y z (fractional)
Er 0.500 0.000 0.000
Os 0.783 0.667 0.333
Os 0.217 0.333 0.667
O 0.962 0.333 0.667
O 0.038 0.667 0.333
O 0.316 0.175 0.349
O 0.684 0.825 0.651
O 0.684 0.349 0.175
O 0.316 0.651 0.825
O 0.316 0.175 0.825
O 0.684 0.825 0.175

***

Entry from the Alexandria database: Ac8GaNi3Br4 after structural relaxation (PBE-GGA).

The value obtained for the density of states at the Fermi level is 14.96 states/eV/f.u. The formation energy without anion corrections comes out at -78.5 kJ per mole of atoms.

Lattice parameters (Å, degrees): 8.847 9.548 8.848 117.62 119.99 90.00
Element x y z (fractional)
Ac 0.240 0.698 0.957
Ac 0.240 0.697 0.480
Ac 0.267 0.300 0.533
Ac 0.717 0.698 0.957
Ac 0.283 0.302 0.043
Ac 0.733 0.700 0.467
Ac 0.760 0.303 0.520
Ac 0.760 0.302 0.043
Ga 0.000 0.500 0.000
Ni 0.500 0.500 0.000
Ni 0.500 0.500 0.500
Ni 0.000 0.500 0.500
Br 0.500 0.000 0.000
Br 0.500 0.000 0.500
Br 0.000 0.000 0.000
Br 0.000 0.000 0.500

***

Entry from the Alexandria database: SmDy3Tl4 after structural relaxation (PBE-GGA).

The excess energy over the best structure of this formula in the dataset is 134.9 meV/atom. The value obtained for the density of states at the Fermi level is 7.14 states/eV/f.u. Its formation energy is -0.216 eV per atom.

Lattice parameters (Å, degrees): 6.666 6.700 10.093 90.00 90.00 90.00
Element x y z (fractional)
Sm 0.815 0.500 0.000
Sm 0.315 0.500 0.500
Dy 0.814 0.000 0.000
Dy 0.064 0.751 0.250
Dy 0.564 0.249 0.250
Dy 0.314 0.000 0.500
Dy 0.564 0.249 0.750
Dy 0.064 0.751 0.750
Tl 0.314 0.000 0.000
Tl 0.315 0.500 0.000
Tl 0.064 0.249 0.250
Tl 0.564 0.751 0.250
Tl 0.815 0.500 0.500
Tl 0.814 0.000 0.500
Tl 0.564 0.751 0.750
Tl 0.064 0.249 0.750

***

Entry from the Alexandria database: Tl2TcS after structural relaxation (PBE-GGA).

The excess energy over the best structure of this formula in the dataset is 0.0 meV/atom. The value obtained for the density of states at the Fermi level is 2.46 states/eV/f.u. The formation energy without anion corrections comes out at 72.1 kJ per mole of atoms.

Lattice parameters (Å, degrees): 7.814 7.814 6.295 51.63 51.63 90.00
Element x y z (fractional)
S 0.500 0.500 0.000
S 0.250 0.750 0.500
Tl 0.626 0.125 0.250
Tl 0.124 0.625 0.250
Tl 0.375 0.374 0.750
Tl 0.875 0.876 0.750
Tc 0.000 0.000 0.000
Tc 0.750 0.250 0.500

***

Entry from the Alexandria database: Ce3PdPt2 after structural relaxation (PBE-GGA).

The value obtained for the density of states at the Fermi level is 16.43 states/eV/f.u. Its formation energy is -0.629 eV per atom.

Lattice parameters (Å, degrees): 3.116 5.404 8.847 107.78 100.14 90.00
Element x y z (fractional)
Ce 0.000 0.500 0.000
Ce 0.826 0.826 0.653
Ce 0.174 0.174 0.347
Pd 0.000 0.000 0.000
Pt 0.659 0.659 0.317
Pt 0.341 0.341 0.683

***

Entry from the Alexandria database: TlVFeSe3 after structural relaxation (PBE-GGA).

The value obtained for the density of states at the Fermi level is 1.60 states/eV/f.u. The formation energy without anion corrections comes out at -50.2 kJ per mole of atoms.

Lattice parameters (Å, degrees): 3.575 8.336 10.110 117.23 90.00 90.00
Element x y z (fractional)
Tl 0.250 0.286 0.273
Tl 0.750 0.714 0.727
V 0.250 0.708 0.179
V 0.750 0.292 0.821
Fe 0.250 0.081 0.606
Fe 0.750 0.919 0.394
Se 0.750 0.905 0.155
Se 0.250 0.095 0.845
Se 0.250 0.750 0.440
Se 0.750 0.250 0.560
Se 0.750 0.458 0.112
Se 0.250 0.542 0.888

***

no.,theoretical density (Mg/m³),volume (Å³ per atom)
1,5.2,19.656
2,7.2,34.174
3,10.7,28.175
4,9.7,23.018
5,10.9,23.236
6,6.8,22.328